Material: Y2In2Te7
Method: DFT, PBE
State: optimized geometry

a b c (Å): 8.095 8.095 7.694
angles (deg): 102.27 102.27 110.79
Sites, in units of the cell vectors:
Y1 0.192 0.808 0.000
Y2 0.808 0.192 0.000
In1 0.241 0.241 0.633
In2 0.759 0.759 0.367
Te1 0.019 0.397 0.762
Te2 0.155 0.155 0.229
Te3 0.397 0.019 0.762
Te4 0.500 0.500 0.500
Te5 0.603 0.981 0.238
Te6 0.845 0.845 0.771
Te7 0.981 0.603 0.238

## Properties
calculated total energy	-4.3097	eV per atom
total magnetization	0.0	μB per formula unit
formation energy (no corrections)	-61	kJ per mole of atoms